Material: Ac3PrPb
Method: DFT, PBE
State: relaxed

a = 4.0591 Å, b = 8.1329 Å, c = 13.2262 Å
α = 75.34°, β = 81.25°, γ = 75.57°
Last column: nearest neighbours and their distance in Å.
Space group P-1 (No. 2)
Asymmetric unit:
Ac: 0.1132 0.2291 0.0402  3 Pb 3.47-3.48
Ac: 0.3373 0.2949 0.5305  1 Pb 3.61, 4 Pr 3.71-3.76, 3 Ac 3.75-3.95
Ac: 0.3643 0.5376 0.2313  2 Pb 3.53
Pr: 0.0245 0.1006 0.3478  2 Pb 3.42-3.43, 4 Ac 3.71-3.76
Pb: 0.3061 0.0869 0.8067  2 Pr 3.42-3.43, 6 Ac 3.47-3.61

Computed properties:
Total magnetic moment: 0.0 μB/f.u.
Crystal system: triclinic
Formation energy: -156 meV per atom
Density of states at the Fermi level: 12.80 states/eV/cell


Material: AcPrPb4
Method: DFT, PBE
State: relaxed

a = 9.2809 Å, b = 9.2809 Å, c = 9.2809 Å
α = 90.00°, β = 90.00°, γ = 90.00°
Last column: nearest neighbours and their distance in Å.
Space group F-43m (No. 216)
Asymmetric unit:
Ac: 0.0000 0.0000 0.0000  12 Pb 3.85, 4 Pr 4.02
Pr: 0.2500 0.2500 0.2500  12 Pb 3.85, 4 Ac 4.02
Pb: 0.1246 0.1246 0.6246  6 Pb 3.27-3.29

Computed properties:
Total magnetic moment: 0.8 μB/f.u.
Crystal system: cubic
Formation energy: -262 meV per atom
Energy above the lowest structure with this stoichiometry: 129 meV/atom
Density of states at the Fermi level: 25.37 states/eV/cell


Material: Ac2PrPb3
Method: DFT, PBE
State: relaxed

a = 4.8690 Å, b = 6.7570 Å, c = 14.1174 Å
α = 90.00°, β = 90.00°, γ = 90.00°
Last column: nearest neighbours and their distance in Å.
Space group Immm (No. 71)
Asymmetric unit:
Ac: 0.0000 0.0000 0.1720  6 Pb 3.39-3.47
Pr: 0.0000 0.0000 0.5000  6 Pb 3.25-3.38
Pb: 0.0000 0.5000 0.1529  2 Pr 3.25, 4 Ac 3.39-3.47
Pb: 0.0000 0.5000 0.5000  2 Pr 3.38, 4 Ac 3.44

Computed properties:
Total magnetic moment: 0.0 μB/f.u.
Crystal system: orthorhombic
Formation energy: -399 meV per atom
Energy above the lowest structure with this stoichiometry: 81 meV/atom
Density of states at the Fermi level: 12.04 states/eV/cell


Material: Ac3PrPb2
Method: DFT, PBE
State: relaxed

a = 4.9715 Å, b = 4.9715 Å, c = 9.3068 Å
α = 90.00°, β = 90.00°, γ = 90.00°
Last column: nearest neighbours and their distance in Å.
Space group P-4m2 (No. 115)
Asymmetric unit:
Ac: 0.0000 0.0000 0.0000  4 Pr 3.52, 4 Pb 3.57
Ac: 0.0000 0.5000 0.6501  5 Pb 3.48-3.58
Pr: 0.5000 0.5000 0.0000  4 Ac 3.52, 4 Pb 3.57
Pb: 0.0000 0.5000 0.2760  7 Ac 3.48-3.58, 2 Pr 3.57

Computed properties:
Total magnetic moment: 0.0 μB/f.u.
Crystal system: tetragonal
Formation energy: -405 meV per atom
Energy above the lowest structure with this stoichiometry: 0 meV/atom
Density of states at the Fermi level: 8.45 states/eV/cell


Material: Ac5Pr2Pb5
Method: DFT, PBE
State: relaxed

a = 15.9359 Å, b = 4.7679 Å, c = 13.7724 Å
α = 90.00°, β = 110.00°, γ = 90.00°
Last column: nearest neighbours and their distance in Å.
Space group C2/m (No. 12)
Asymmetric unit:
Ac: 0.0000 0.0000 0.0000  4 Pb 3.39
Ac: 0.1620 0.0000 0.5423  5 Pb 3.41-3.65
Ac: 0.2320 0.0000 0.8485  5 Pb 3.31-3.54
Pr: 0.0494 0.5000 0.2907  4 Pb 3.14-3.26
Pb: 0.0000 0.5000 0.5000  2 Pr 3.24, 4 Ac 3.41
Pb: 0.1123 0.5000 0.9188  1 Pr 3.14, 5 Ac 3.31-3.39
Pb: 0.1882 0.0000 0.2895  2 Pr 3.26, 5 Ac 3.54-3.65

Computed properties:
Total magnetic moment: 1.1 μB/f.u.
Crystal system: monoclinic
Formation energy: -405 meV per atom
Density of states at the Fermi level: 12.30 states/eV/cell


Material: Ac2Pr6Pb
Method: DFT, PBE
State: relaxed

a = 10.3384 Å, b = 10.3384 Å, c = 3.6866 Å
α = 90.00°, β = 90.00°, γ = 120.00°
Last column: nearest neighbours and their distance in Å.
Space group P-31m (No. 162)
Asymmetric unit:
Ac: 0.3333 0.6667 0.0000  2 Ac 3.69, 6 Pr 3.70
Pr: 0.0000 0.3134 0.7253  1 Pb 3.34, 4 Pr 3.64-3.69, 2 Ac 3.70
Pb: 0.0000 0.0000 0.5000  6 Pr 3.34, 2 Pb 3.69

Computed properties:
Total magnetic moment: 0.0 μB/f.u.
Crystal system: trigonal
Formation energy: 28 meV per atom
Density of states at the Fermi level: 16.76 states/eV/cell